VASP calculation (GGA-PBE) on PrYSbCl2 after structural relaxation.

Results
Total magnetic moment: 0.01 μB per cell
Energy: -5.4818 eV per atom

Lattice parameters (Å, degrees): 4.257 4.257 10.694 90.00 90.00 120.00
Sites, in units of the cell vectors:
Cl 0.667 0.333 0.319
Cl 0.000 0.000 0.691
Pr 0.000 0.000 0.169
Sb 0.333 0.667 0.991
Y 0.667 0.333 0.830